[1]
Compound: K2LiPbI
Source: Alexandria
Functional: GGA-PBE
Structure: relaxed

Calculated values
Final energy = -1.83 eV/atom
Crystal system = tetragonal
V = 60.9 Å³ per atom
Formation energy (no corrections) = 0.044 eV per atom

Cell: 6.928 6.348 6.928 Å, 90.00 90.00 90.00°
Last column: magnetic moment on the atom in μB.
Fractional coordinates of all 5 atoms:
Pb 0.000 0.000 0.000  0.04
I 0.000 0.500 0.000  0.01
K 0.000 0.000 0.500  0.00
K 0.500 0.000 0.000  0.01
Li 0.500 0.500 0.500  0.07

[2]
Compound: KLiPmI5
Source: Alexandria
Functional: GGA-PBE
Structure: relaxed

Calculated values
Final energy = -3.30 eV/atom
Crystal system = monoclinic
V = 45.9 Å³ per atom
Formation energy (no corrections) = -1.360 eV per atom

Cell: 8.527 8.527 11.548 Å, 103.42 103.42 107.81°
Fractional coordinates of all 16 atoms:
K 0.361 0.639 0.250
K 0.639 0.361 0.750
Li 0.691 0.309 0.250
Li 0.309 0.691 0.750
Pm 0.000 0.000 0.500
Pm 0.000 0.000 0.000
I 0.090 0.910 0.250
I 0.910 0.090 0.750
I 0.927 0.324 0.121
I 0.073 0.676 0.879
I 0.676 0.073 0.379
I 0.324 0.927 0.621
I 0.753 0.616 0.438
I 0.247 0.384 0.562
I 0.384 0.247 0.062
I 0.616 0.753 0.938

[3]
Compound: KLi2PmI6
Source: Alexandria
Functional: GGA-PBE
Structure: relaxed

Calculated values
Final energy = -3.21 eV/atom
Crystal system = trigonal
V = 39.4 Å³ per atom
Formation energy (no corrections) = -1.311 eV per atom

Cell: 7.930 7.928 8.558 Å, 62.40 62.39 59.99°
Fractional coordinates of all 10 atoms:
K 0.807 0.807 0.579
Li 0.511 0.511 0.466
Li 0.006 0.006 0.982
Pm 0.323 0.322 0.032
I 0.601 0.258 0.235
I 0.258 0.906 0.235
I 0.907 0.601 0.235
I 0.348 0.744 0.750
I 0.744 0.158 0.750
I 0.158 0.348 0.750

[4]
Compound: KLiPm2I8
Source: Alexandria
Functional: GGA-PBE
Structure: relaxed

Calculated values
Final energy = -3.39 eV/atom
Crystal system = trigonal
V = 42.6 Å³ per atom
Formation energy (no corrections) = -1.317 eV per atom

Cell: 7.966 7.966 9.302 Å, 90.00 90.00 120.00°
Fractional coordinates of all 12 atoms:
K 0.000 0.000 0.500
Li 0.000 0.000 0.000
Pm 0.667 0.333 0.096
Pm 0.333 0.667 0.904
I 0.933 0.644 0.840
I 0.356 0.289 0.840
I 0.711 0.067 0.840
I 0.067 0.356 0.160
I 0.644 0.711 0.160
I 0.289 0.933 0.160
I 0.667 0.333 0.420
I 0.333 0.667 0.580